Crystalline Er7TmRu2 at its relaxed geometry. Source: Alexandria via LeMat-Bulk, functional GGA-PBE.

ΔH_f (0 K), eV per formula unit: -0.19
Symmetry: Cmmm (65)
Volume, Å³ per atom: 31.5

abc: 5.326 8.079 8.080
angles: 114.97 90.00 90.00
Positions (direct):
Er  0.000  0.707  0.293
Er  0.000  0.293  0.707
Er  0.500  0.058  0.326
Er  0.500  0.942  0.674
Er  0.500  0.326  0.058
Er  0.500  0.674  0.942
Er  0.500  0.500  0.500
Tm  0.000  0.000  0.000
Ru  0.500  0.705  0.295
Ru  0.500  0.295  0.705

=====

Crystalline Er3TmRu8 at its relaxed geometry. Source: Alexandria via LeMat-Bulk, functional GGA-PBE.

ΔH_f (0 K), eV per formula unit: -4.02
Symmetry: R3m (160)
Volume, Å³ per atom: 17.6

abc: 5.300 5.300 9.226
angles: 73.31 73.31 60.00
Positions (direct):
Er  0.375  0.375  0.875
Er  0.000  0.000  0.000
Er  0.500  0.500  0.500
Tm  0.875  0.875  0.375
Ru  0.937  0.438  0.188
Ru  0.438  0.938  0.687
Ru  0.438  0.438  0.188
Ru  0.938  0.938  0.687
Ru  0.188  0.188  0.437
Ru  0.688  0.688  0.937
Ru  0.438  0.937  0.188
Ru  0.938  0.438  0.687

=====

Please write out number 2 again, unchanged.
Crystalline Er3TmRu8 at its relaxed geometry. Source: Alexandria via LeMat-Bulk, functional GGA-PBE.

ΔH_f (0 K), eV per formula unit: -4.02
Symmetry: R3m (160)
Volume, Å³ per atom: 17.6

abc: 5.300 5.300 9.226
angles: 73.31 73.31 60.00
Positions (direct):
Er  0.375  0.375  0.875
Er  0.000  0.000  0.000
Er  0.500  0.500  0.500
Tm  0.875  0.875  0.375
Ru  0.937  0.438  0.188
Ru  0.438  0.938  0.687
Ru  0.438  0.438  0.188
Ru  0.938  0.938  0.687
Ru  0.188  0.188  0.437
Ru  0.688  0.688  0.937
Ru  0.438  0.937  0.188
Ru  0.938  0.438  0.687

=====

> Number 1 is which compound?

Er7TmRu2

=====

What did the second record say?
Crystalline Er3TmRu8 at its relaxed geometry. Source: Alexandria via LeMat-Bulk, functional GGA-PBE.

ΔH_f (0 K), eV per formula unit: -4.02
Symmetry: R3m (160)
Volume, Å³ per atom: 17.6

abc: 5.300 5.300 9.226
angles: 73.31 73.31 60.00
Positions (direct):
Er  0.375  0.375  0.875
Er  0.000  0.000  0.000
Er  0.500  0.500  0.500
Tm  0.875  0.875  0.375
Ru  0.937  0.438  0.188
Ru  0.438  0.938  0.687
Ru  0.438  0.438  0.188
Ru  0.938  0.938  0.687
Ru  0.188  0.188  0.437
Ru  0.688  0.688  0.937
Ru  0.438  0.937  0.188
Ru  0.938  0.438  0.687

=====

Please write out number 2 again, unchanged.
Crystalline Er3TmRu8 at its relaxed geometry. Source: Alexandria via LeMat-Bulk, functional GGA-PBE.

ΔH_f (0 K), eV per formula unit: -4.02
Symmetry: R3m (160)
Volume, Å³ per atom: 17.6

abc: 5.300 5.300 9.226
angles: 73.31 73.31 60.00
Positions (direct):
Er  0.375  0.375  0.875
Er  0.000  0.000  0.000
Er  0.500  0.500  0.500
Tm  0.875  0.875  0.375
Ru  0.937  0.438  0.188
Ru  0.438  0.938  0.687
Ru  0.438  0.438  0.188
Ru  0.938  0.938  0.687
Ru  0.188  0.188  0.437
Ru  0.688  0.688  0.937
Ru  0.438  0.937  0.188
Ru  0.938  0.438  0.687